# SrHfS3, optimized geometry, DFT PBE-GGA
# * D(E_F): 0.000 states/eV/atom
# * total DFT energy (no corrections): -6.380 eV/atom
# * formation energy (no corrections): -1576 meV per atom
data_SrHfS3
_chemical_formula_sum 'Sr2 Hf2 S6'
_space_group_name_H-M_alt 'P 63/m m c'
_space_group_IT_number 194
_space_group_name_Hall '-P 6c 2c'
_cell_length_a 4.4409
_cell_length_b 4.4409
_cell_length_c 15.8499
_cell_angle_alpha 90.00
_cell_angle_beta 90.00
_cell_angle_gamma 120.00
loop_
_atom_site_label
_atom_site_type_symbol
_atom_site_fract_x
_atom_site_fract_y
_atom_site_fract_z
Sr1 Sr 0.0000 0.0000 0.0000
Hf1 Hf 0.3333 0.6667 0.2500
S1 S 0.0000 0.0000 0.2500
S2 S 0.3333 0.6667 0.0966

---

# SrHfS3, optimized geometry, DFT PBE-GGA
# * total DFT energy (no corrections): -6.622 eV/atom
# * formation energy (no corrections): -1819 meV per atom
data_SrHfS3
_chemical_formula_sum 'Sr4 Hf4 S12'
_space_group_name_H-M_alt 'P n m a'
_space_group_IT_number 62
_cell_length_a 8.6297
_cell_length_b 3.8126
_cell_length_c 13.9751
_cell_angle_alpha 90.00
_cell_angle_beta 90.00
_cell_angle_gamma 90.00
loop_
_space_group_symop_operation_xyz
'x,y,z'
'-x,-y,-z'
'-x+1/2,-y,z+1/2'
'x+1/2,y,-z+1/2'
'x+1/2,-y+1/2,-z+1/2'
'-x+1/2,y+1/2,z+1/2'
'-x,y+1/2,-z'
'x,-y+1/2,z'
loop_
_atom_site_label
_atom_site_type_symbol
_atom_site_fract_x
_atom_site_fract_y
_atom_site_fract_z
Sr1 Sr 0.0602 0.2500 0.1795
Hf1 Hf 0.1710 0.7500 0.4440
S1 S 0.0147 0.7500 0.6047
S2 S 0.1646 0.7500 0.0133
S3 S 0.2113 0.2500 0.7851

---

# SrHfS3, optimized geometry, DFT PBE-GGA
# * D(E_F): 0.000 states/eV/atom
# * total DFT energy (no corrections): -6.560 eV/atom
# * formation energy (no corrections): -1756 meV per atom
data_SrHfS3
_chemical_formula_sum 'Sr4 Hf4 S12'
_space_group_name_H-M_alt 'P 1 21/c 1'
_space_group_IT_number 14
_cell_length_a 8.8588
_cell_length_b 6.4806
_cell_length_c 9.3619
_cell_angle_alpha 90.00
_cell_angle_beta 114.83
_cell_angle_gamma 90.00
loop_
_space_group_symop_operation_xyz
'x,y,z'
'-x,-y,-z'
'-x,y+1/2,-z+1/2'
'x,-y+1/2,z+1/2'
loop_
_atom_site_label
_atom_site_type_symbol
_atom_site_fract_x
_atom_site_fract_y
_atom_site_fract_z
Sr1 Sr 0.1347 0.2480 0.1538
Hf1 Hf 0.4058 0.7415 0.8904
S1 S 0.1140 0.7059 0.1980
S2 S 0.3102 0.0762 0.4728
S3 S 0.4401 0.5691 0.6408

---

# SrHfS3, optimized geometry, DFT PBE-GGA
# * D(E_F): 0.000 states/eV/atom
# * total DFT energy (no corrections): -6.564 eV/atom
# * formation energy (no corrections): -1760 meV per atom
data_SrHfS3
_chemical_formula_sum 'Sr4 Hf4 S12'
_space_group_name_H-M_alt 'C 1 m 1'
_space_group_IT_number 8
_cell_length_a 19.0983
_cell_length_b 3.8482
_cell_length_c 8.0063
_cell_angle_alpha 90.00
_cell_angle_beta 107.39
_cell_angle_gamma 90.00
loop_
_space_group_symop_operation_xyz
'x,y,z'
'x,-y,z'
'x+1/2,y+1/2,z'
'x+1/2,-y+1/2,z'
loop_
_atom_site_label
_atom_site_type_symbol
_atom_site_fract_x
_atom_site_fract_y
_atom_site_fract_z
Sr1 Sr 0.0000 0.0000 0.0000
Sr2 Sr 0.2244 0.0000 0.9286
Hf1 Hf 0.0535 0.5000 0.5928
Hf2 Hf 0.3767 0.5000 0.2912
S1 S 0.1029 0.5000 0.9238
S2 S 0.1318 0.0000 0.5528
S3 S 0.2992 0.0000 0.3222
S4 S 0.3416 0.5000 0.9694
S5 S 0.4597 0.5000 0.6141
S6 S 0.4758 0.0000 0.2683

---

# SrHfTcS2, optimized geometry, DFT PBE-GGA
# * D(E_F): 0.671 states/eV/atom
# * total DFT energy (no corrections): -6.370 eV/atom
# * formation energy (no corrections): -319 meV per atom
data_SrHfTcS2
_chemical_formula_sum 'Sr1 Hf1 Tc1 S2'
_space_group_name_H-M_alt 'P 4/m m m'
_space_group_IT_number 123
_space_group_name_Hall '-P 4 2'
_cell_length_a 5.0528
_cell_length_b 5.0528
_cell_length_c 4.9306
_cell_angle_alpha 90.00
_cell_angle_beta 90.00
_cell_angle_gamma 90.00
loop_
_atom_site_label
_atom_site_type_symbol
_atom_site_fract_x
_atom_site_fract_y
_atom_site_fract_z
Sr1 Sr 0.0000 0.0000 0.0000
Hf1 Hf 0.5000 0.5000 0.5000
Tc1 Tc 0.5000 0.5000 0.0000
S1 S 0.0000 0.5000 0.5000

---

# SrHf2TcS, optimized geometry, DFT PBE-GGA
# * D(E_F): 1.439 states/eV/atom
# * total DFT energy (no corrections): -4.989 eV/atom
# * formation energy (no corrections): 2228 meV per atom
data_SrHf2TcS
_chemical_formula_sum 'Sr1 Hf2 Tc1 S1'
_space_group_name_H-M_alt 'P 4/m m m'
_space_group_IT_number 123
_space_group_name_Hall '-P 4 2'
_cell_length_a 5.3060
_cell_length_b 5.3060
_cell_length_c 5.0156
_cell_angle_alpha 90.00
_cell_angle_beta 90.00
_cell_angle_gamma 90.00
loop_
_atom_site_label
_atom_site_type_symbol
_atom_site_fract_x
_atom_site_fract_y
_atom_site_fract_z
Sr1 Sr 0.0000 0.0000 0.0000
Hf1 Hf 0.0000 0.5000 0.0000
Tc1 Tc 0.5000 0.5000 0.5000
S1 S 0.0000 0.0000 0.5000